1.
Density functional theory data (GGA-PBE) for TaP3H after structural relaxation.

Output
SG: Pm-3m
Theoretical density in g cm⁻³: 4.1
DOS(E_F) in states/eV/cell: 3.9
Offset from the most stable computed form in meV/atom: 196

Cell lengths 4.812, 4.812, 4.812 Å; angles 90.00, 90.00, 90.00 degrees
Positions (direct):
H 0.500 0.500 0.500
P 0.500 0.000 0.000
P 0.000 0.000 0.500
P 0.000 0.500 0.000
Ta 0.000 0.000 0.000

=====

2.
Density functional theory data (GGA-PBE) for Pr2DyRh after structural relaxation.

Output
SG: P4/mmm
Theoretical density in g cm⁻³: 7.9
DOS(E_F) in states/eV/cell: 6.0
Offset from the most stable computed form in meV/atom: 201
Energy relative to the elements in meV/atom: -232.7

Cell lengths 3.643, 3.643, 8.715 Å; angles 90.00, 90.00, 90.00 degrees
Positions (direct):
Pr 0.000 0.000 0.194
Pr 0.000 0.000 0.806
Rh 0.500 0.500 0.000
Dy 0.500 0.500 0.500

=====

3.
Density functional theory data (GGA-PBE) for LaBe2FeRh after structural relaxation.

Output
SG: P4/mmm
Theoretical density in g cm⁻³: 5.9
DOS(E_F) in states/eV/cell: 4.3
Energy relative to the elements in meV/atom: 34.6

Cell lengths 4.281, 4.281, 4.818 Å; angles 90.00, 90.00, 90.00 degrees
Positions (direct):
Be 0.500 0.000 0.000
Be 0.000 0.500 0.000
La 0.500 0.500 0.500
Fe 0.000 0.000 0.500
Rh 0.000 0.000 0.000

=====

4.
Density functional theory data (GGA-PBE) for Pm9In2Ga after structural relaxation.

Output
SG: P4/mmm
Theoretical density in g cm⁻³: 7.5
DOS(E_F) in states/eV/cell: 22.6
Energy relative to the elements in meV/atom: -258.8

Cell lengths 4.918, 4.918, 14.733 Å; angles 90.00, 90.00, 90.00 degrees
Positions (direct):
Pm 0.000 0.500 0.840
Pm 0.000 0.500 0.160
Pm 0.500 0.500 0.000
Pm 0.500 0.000 0.160
Pm 0.000 0.500 0.500
Pm 0.500 0.500 0.670
Pm 0.500 0.000 0.500
Pm 0.500 0.500 0.330
Pm 0.500 0.000 0.840
In 0.000 0.000 0.331
In 0.000 0.000 0.669
Ga 0.000 0.000 0.000

=====

5.
Density functional theory data (GGA-PBE) for ReRhCl2 after structural relaxation.

Output
SG: I-4m2
Theoretical density in g cm⁻³: 9.2
DOS(E_F) in states/eV/cell: 4.2
Offset from the most stable computed form in meV/atom: 1001
Formation energy without anion corrections in kJ per mole of atoms: 93.7

Cell lengths 4.384, 4.384, 4.384 Å; angles 107.72, 107.72, 113.03 degrees
Positions (direct):
Cl 0.250 0.750 0.500
Cl 0.000 0.000 0.000
Rh 0.750 0.250 0.500
Re 0.500 0.500 0.000

=====

6.
Density functional theory data (GGA-PBE) for Pu2GaAu after structural relaxation.

Output
SG: C2/m
Theoretical density in g cm⁻³: 14.3
DOS(E_F) in states/eV/cell: 10.8
Energy relative to the elements in meV/atom: -335.5

Cell lengths 6.860, 5.450, 5.450 Å; angles 111.85, 119.74, 119.74 degrees
Positions (direct):
Pu 0.000 0.500 0.500
Pu 0.000 0.000 0.000
Au 0.500 0.000 0.500
Ga 0.500 0.500 0.000

=====

7.
Density functional theory data (GGA-PBE) for Cs2YTaCl6 after structural relaxation.

Output
SG: Fm-3m
Theoretical density in g cm⁻³: 4.3
DOS(E_F) in states/eV/cell: 2.9
Formation energy without anion corrections in kJ per mole of atoms: -142.2

Cell lengths 7.405, 7.405, 7.407 Å; angles 60.01, 60.01, 90.00 degrees
Positions (direct):
Cs 0.250 0.750 0.500
Cs 0.750 0.250 0.500
Ta 0.000 0.000 0.000
Cl 0.757 0.757 0.000
Cl 0.757 0.757 0.486
Cl 0.243 0.757 0.000
Cl 0.243 0.243 0.514
Cl 0.243 0.243 0.000
Cl 0.757 0.243 0.000
Y 0.500 0.500 0.000

=====

8.
Density functional theory data (GGA-PBE) for LaPm5Sb4 after structural relaxation.

Output
SG: Pmmn
Theoretical density in g cm⁻³: 5.8
DOS(E_F) in states/eV/cell: 18.6
Formation energy without anion corrections in kJ per mole of atoms: -62.3

Cell lengths 7.371, 9.743, 10.714 Å; angles 90.00, 90.00, 90.00 degrees
Positions (direct):
Sb 0.456 0.723 0.500
Sb 0.456 0.277 0.500
Sb 0.009 0.000 0.272
Sb 0.991 0.500 0.228
Sb 0.544 0.777 0.000
Sb 0.991 0.500 0.772
Sb 0.009 0.000 0.728
Sb 0.544 0.223 0.000
Pm 0.259 0.253 0.789
Pm 0.259 0.747 0.211
Pm 0.259 0.253 0.211
Pm 0.741 0.753 0.289
Pm 0.741 0.247 0.711
Pm 0.253 0.000 0.500
Pm 0.741 0.753 0.711
Pm 0.747 0.500 0.000
Pm 0.741 0.247 0.289
Pm 0.259 0.747 0.789
La 0.142 0.500 0.500
La 0.858 0.000 0.000

=====

9.
Density functional theory data (GGA-PBE) for CsS3Cl after structural relaxation.

Output
SG: C2/m
Theoretical density in g cm⁻³: 2.3
Offset from the most stable computed form in meV/atom: 0
Formation energy without anion corrections in kJ per mole of atoms: -52.2

Cell lengths 11.104, 11.104, 7.610 Å; angles 46.87, 46.87, 35.76 degrees
Positions (direct):
S 0.344 0.862 0.487
S 0.934 0.934 0.323
S 0.862 0.344 0.487
S 0.066 0.066 0.677
S 0.656 0.138 0.513
S 0.138 0.656 0.513
Cl 0.829 0.829 0.226
Cl 0.171 0.171 0.774
Cs 0.658 0.658 0.879
Cs 0.342 0.342 0.121

=====

10.
Density functional theory data (GGA-PBE) for Ce14PuPb after structural relaxation.

Output
SG: Amm2
Theoretical density in g cm⁻³: 9.5
DOS(E_F) in states/eV/cell: 40.2
Energy relative to the elements in meV/atom: -39.8

Cell lengths 6.678, 6.678, 9.458 Å; angles 90.00, 90.00, 90.03 degrees
Positions (direct):
Ce 0.622 0.871 0.750
Ce 0.129 0.378 0.750
Ce 0.875 0.624 0.000
Ce 0.621 0.379 0.750
Ce 0.876 0.625 0.500
Ce 0.874 0.126 0.500
Ce 0.622 0.871 0.250
Ce 0.128 0.872 0.750
Ce 0.128 0.872 0.250
Ce 0.129 0.378 0.250
Ce 0.621 0.379 0.250
Ce 0.375 0.124 0.500
Ce 0.375 0.625 0.500
Ce 0.376 0.125 0.000
Pu 0.875 0.125 0.000
Pb 0.375 0.625 0.000

=====

11.
Density functional theory data (GGA-PBE) for CaTl3Pb after structural relaxation.

Output
SG: P2_1/m
Theoretical density in g cm⁻³: 8.7
DOS(E_F) in states/eV/cell: 3.8
Offset from the most stable computed form in meV/atom: 17
Energy relative to the elements in meV/atom: -111.7

Cell lengths 5.028, 7.510, 9.190 Å; angles 90.00, 90.00, 109.39 degrees
Positions (direct):
Tl 0.169 0.336 0.750
Tl 0.831 0.664 0.250
Tl 0.657 0.315 0.501
Tl 0.343 0.685 0.001
Tl 0.657 0.315 0.999
Tl 0.343 0.685 0.499
Ca 0.000 0.000 0.000
Ca 0.000 0.000 0.500
Pb 0.174 0.347 0.250
Pb 0.826 0.653 0.750

=====

12.
Density functional theory data (GGA-PBE) for CdTeF2 after structural relaxation.

Output
SG: R-3m
Theoretical density in g cm⁻³: 6.3
DOS(E_F) in states/eV/cell: 1.5
Offset from the most stable computed form in meV/atom: 245
Formation energy without anion corrections in kJ per mole of atoms: -88.9

Cell lengths 8.826, 8.826, 8.826 Å; angles 20.43, 20.43, 20.43 degrees
Positions (direct):
Cd 0.000 0.000 0.000
Te 0.500 0.500 0.500
F 0.093 0.093 0.093
F 0.907 0.907 0.907